The following is a PBE-GGA calculation of an optimized crystal structure of ZnMo4Pb, from Alexandria via LeMat-Bulk.

a = 5.3512 Å, b = 5.3512 Å, c = 5.3512 Å
α = 60.00°, β = 60.00°, γ = 60.00°
Last column: nearest neighbours and their distance in Å.
Element x y z (fractional)
1 Zn 0.0000 0.0000 0.0000  12 Mo 3.13, 4 Pb 3.28
2 Mo 0.1209 0.6264 0.6264  6 Mo 2.65-2.71
3 Mo 0.6264 0.1209 0.6264  6 Mo 2.65-2.71
4 Mo 0.6264 0.6264 0.1209  6 Mo 2.65-2.71
5 Mo 0.6264 0.6264 0.6264  6 Mo 2.65-2.71
6 Pb 0.2500 0.2500 0.2500  12 Mo 3.14, 4 Zn 3.28

Values from the calculation:
D(E_F), states/eV/cell: 4.413
Formation enthalpy at 0 K, meV/atom: 604
Total moment, Bohr magnetons per cell: 0.000
Calculated volume, A^3/atom: 18.06